## MnGaMoHOs (PBE)

Data for a relaxed structure of MnGaMoHOs.

Cell lengths 4.836, 2.765, 9.006 Å; angles 90.00, 99.69, 90.00 degrees
Site moments in Bohr magnetons follow the coordinates.
Positions (direct):
Mn: 0.688 0.500 0.905  0.08
Mn: 0.688 0.000 0.405  0.08
H: 0.733 0.500 0.305  0.00
H: 0.733 0.000 0.805  0.00
Ga: 0.200 0.500 0.369  0.00
Ga: 0.200 0.000 0.869  0.00
Os: 0.990 0.500 0.617  -0.01
Os: 0.990 0.000 0.117  -0.01
Mo: 0.488 0.000 0.624  -0.01
Mo: 0.488 0.500 0.124  -0.01

Output
Volume: 11.869 Å³/atom
Density: 11.5 g cm⁻³
Symmetry: No. 8

***

## MnGaMoHOs (PBE)

Data for a relaxed structure of MnGaMoHOs.

Cell lengths 4.849, 2.816, 8.937 Å; angles 90.00, 100.62, 90.00 degrees
Site moments in Bohr magnetons follow the coordinates.
Positions (direct):
Mo: 0.504 0.000 0.341  -0.28
Mo: 0.504 0.500 0.841  -0.28
Mn: 0.261 0.500 0.099  2.40
Mn: 0.261 0.000 0.599  2.40
H: 0.347 0.000 0.961  0.00
H: 0.347 0.500 0.461  0.00
Ga: 0.792 0.500 0.605  -0.03
Ga: 0.792 0.000 0.105  -0.03
Os: 0.996 0.000 0.851  -0.02
Os: 0.996 0.500 0.351  -0.02

Output
Volume: 11.995 Å³/atom
Density: 11.4 g cm⁻³
Symmetry: No. 8

***

## MnGaMoHOs (PBE)

Data for a relaxed structure of MnGaMoHOs.

Cell lengths 3.206, 4.156, 8.828 Å; angles 90.00, 90.00, 90.00 degrees
Site moments in Bohr magnetons follow the coordinates.
Positions (direct):
Ga: 0.000 0.000 0.479  -0.03
Ga: 0.500 0.500 0.979  -0.03
Os: 0.500 0.500 0.482  -0.13
Os: 0.000 0.000 0.982  -0.13
Mn: 0.000 0.500 0.210  2.13
Mn: 0.500 0.000 0.710  2.13
Mo: 0.000 0.500 0.727  -0.33
Mo: 0.500 0.000 0.227  -0.33
H: 0.500 0.500 0.279  -0.01
H: 0.000 0.000 0.779  -0.01

Output
Volume: 11.761 Å³/atom
Density: 11.6 g cm⁻³
Symmetry: No. 44

***

## MnGaMoHOs (PBE)

Data for a relaxed structure of MnGaMoHOs.

Cell lengths 4.621, 2.908, 9.567 Å; angles 90.00, 110.55, 90.00 degrees
Site moments in Bohr magnetons follow the coordinates.
Positions (direct):
Ga: 0.027 0.000 0.808  -0.01
Ga: 0.027 0.500 0.308  -0.01
Mn: 0.378 0.500 0.043  2.50
Mn: 0.378 0.000 0.543  2.50
Os: 0.846 0.000 0.056  -0.03
Os: 0.846 0.500 0.556  -0.03
H: 0.253 0.000 0.110  -0.01
H: 0.253 0.500 0.610  -0.01
Mo: 0.530 0.500 0.806  -0.16
Mo: 0.530 0.000 0.306  -0.16

Output
Volume: 12.040 Å³/atom
Density: 11.4 g cm⁻³
Symmetry: No. 8

***

## MnGaMoHOs (PBE)

Data for a relaxed structure of MnGaMoHOs.

Cell lengths 2.757, 4.533, 5.046 Å; angles 89.71, 90.09, 72.39 degrees
Site moments in Bohr magnetons follow the coordinates.
Positions (direct):
Os: 0.043 0.702 0.506  -0.07
Ga: 0.323 0.153 0.747  -0.01
H: 0.673 0.439 0.363  0.00
Mo: 0.592 0.613 0.005  -0.20
Mn: 0.325 0.127 0.246  2.06

Output
Volume: 12.025 Å³/atom
Density: 11.4 g cm⁻³
Symmetry: No. 1

***

## MnGaMoHOs (PBE)

Data for a relaxed structure of MnGaMoHOs.

Cell lengths 4.125, 2.796, 10.132 Å; angles 90.00, 90.25, 90.00 degrees
Positions (direct):
H: 0.449 0.500 0.307
H: 0.449 0.000 0.807
Os: 0.896 0.500 0.129
Os: 0.896 0.000 0.629
Ga: 0.900 0.000 0.366
Ga: 0.900 0.500 0.866
Mo: 0.394 0.000 0.994
Mo: 0.394 0.500 0.494
Mn: 0.395 0.500 0.724
Mn: 0.395 0.000 0.224

Output
Volume: 11.687 Å³/atom
Density: 11.7 g cm⁻³
Symmetry: No. 8

***

## MnGaMoHOs (PBE)

Data for a relaxed structure of MnGaMoHOs.

Cell lengths 2.735, 4.223, 5.856 Å; angles 106.51, 103.51, 89.96 degrees
Site moments in Bohr magnetons follow the coordinates.
Positions (direct):
Mo: 0.157 0.992 0.578  -0.12
Ga: 0.910 0.201 0.086  -0.04
Mn: 0.448 0.737 0.160  1.73
H: 0.591 0.639 0.445  -0.01
Os: 0.750 0.565 0.765  -0.06

Output
Volume: 12.580 Å³/atom
Density: 10.9 g cm⁻³
Symmetry: No. 8

***

## MnGaMoHOs (PBE)

Data for a relaxed structure of MnGaMoHOs.

Cell lengths 4.481, 2.794, 4.742 Å; angles 90.00, 91.09, 90.00 degrees
Site moments in Bohr magnetons follow the coordinates.
Positions (direct):
Mo: 0.349 0.500 0.440  -0.09
Os: 0.859 0.000 0.244  -0.07
H: 0.678 0.000 0.576  -0.01
Ga: 0.350 0.000 0.933  -0.02
Mn: 0.864 0.500 0.773  2.39

Output
Volume: 11.873 Å³/atom
Density: 11.5 g cm⁻³
Symmetry: No. 6

***

## MnGaMoHOs (PBE)

Data for a relaxed structure of MnGaMoHOs.

Cell lengths 5.073, 2.822, 9.832 Å; angles 90.00, 119.99, 90.00 degrees
Site moments in Bohr magnetons follow the coordinates.
Positions (direct):
Os: 0.105 0.500 0.273  -0.11
Os: 0.105 0.000 0.773  -0.11
H: 0.677 0.000 0.687  0.00
H: 0.677 0.500 0.187  0.00
Ga: 0.101 0.500 0.538  -0.01
Ga: 0.101 0.000 0.038  -0.01
Mn: 0.605 0.000 0.041  2.52
Mn: 0.605 0.500 0.541  2.52
Mo: 0.612 0.500 0.811  -0.12
Mo: 0.612 0.000 0.311  -0.12

Output
Volume: 12.191 Å³/atom
Density: 11.2 g cm⁻³
Symmetry: No. 8

***

## Mn6Ga2HN (PBE)

Data for a relaxed structure of Mn6Ga2HN.

Cell lengths 3.770, 3.770, 7.495 Å; angles 90.00, 90.00, 90.00 degrees
Site moments in Bohr magnetons follow the coordinates.
Positions (direct):
Mn: 0.000 0.500 0.500  1.36
Mn: 0.000 0.500 0.000  2.13
Mn: 0.500 0.500 0.247  1.74
Mn: 0.500 0.000 0.500  1.36
Mn: 0.500 0.500 0.753  1.74
Mn: 0.500 0.000 0.000  2.13
Ga: 0.000 0.000 0.758  -0.11
Ga: 0.000 0.000 0.242  -0.11
N: 0.500 0.500 0.500  -0.12
H: 0.500 0.500 0.000  -0.02

Output
Volume: 10.653 Å³/atom
Density: 7.5 g cm⁻³
Symmetry: No. 123

***

## Na2MnGaH6 (PBE)

Data for a relaxed structure of Na2MnGaH6.

Cell lengths 5.258, 5.258, 5.256 Å; angles 59.87, 59.87, 89.97 degrees
Site moments in Bohr magnetons follow the coordinates.
Positions (direct):
Na: 0.250 0.750 0.500  -0.01
Na: 0.750 0.250 0.500  -0.01
H: 0.770 0.770 0.459  -0.02
H: 0.770 0.230 0.000  -0.02
H: 0.231 0.231 0.997  -0.02
H: 0.230 0.230 0.541  -0.02
H: 0.769 0.769 0.003  -0.02
H: 0.230 0.770 0.000  -0.02
Ga: 0.500 0.500 0.000  -0.03
Mn: 0.000 0.000 0.000  2.37

Output
Volume: 10.237 Å³/atom
Density: 2.9 g cm⁻³
Symmetry: No. 12

***

## MnGaNi2H (PBE)

Data for a relaxed structure of MnGaNi2H.

Cell lengths 3.659, 3.659, 3.761 Å; angles 90.00, 90.00, 90.00 degrees
Site moments in Bohr magnetons follow the coordinates.
Positions (direct):
Mn: 0.000 0.000 0.500  2.84
Ga: 0.500 0.500 0.500  -0.09
Ni: 0.500 0.000 0.000  0.30
Ni: 0.000 0.500 0.000  0.30
H: 0.000 0.000 0.000  -0.01

Output
Volume: 10.070 Å³/atom
Density: 8.0 g cm⁻³
Symmetry: No. 123

***

| no. | calculated total energy (Ha/atom) |
| --- | --- |
| 1 | -0.272 |
| 2 | -0.273 |
| 3 | -0.274 |
| 4 | -0.274 |
| 5 | -0.272 |
| 6 | -0.272 |
| 7 | -0.272 |
| 8 | -0.276 |
| 9 | -0.272 |
| 10 | -0.274 |
| 11 | -0.128 |
| 12 | -0.207 |